## Ga2NiSe2 (GGA-PBE)

Data for a geometry-optimized Ga2NiSe2 structure.

## Properties
Formation energy from raw total energies ... 0.1097 eV/atom
Total DFT energy (no corrections) ... -18.26 eV per cell
Total moment ... 0.3 μB/f.u.
DOS at the Fermi energy ... 5.1 states/eV per cell

Cell: 5.2080 5.2080 5.2080 Å, 120.89 120.89 88.47°
Closest atoms and distances in Å follow each position.
Element x y z (fractional)
Ga 0.1648 0.1648 0.0000  1 Ga 2.46, 1 Ni 2.50, 4 Se 2.65
Ga 0.8352 0.8352 0.0000  1 Ga 2.46, 1 Ni 2.50, 4 Se 2.65
Ni 0.5000 0.5000 0.0000  2 Ga 2.50
Se 0.2500 0.7500 0.5000  4 Ga 2.65
Se 0.7500 0.2500 0.5000  4 Ga 2.65

---

## GaNi5Se8 (GGA-PBE)

Data for a geometry-optimized GaNi5Se8 structure.

## Properties
Formation energy from raw total energies ... -0.3084 eV/atom
Total DFT energy (no corrections) ... -64.13 eV per cell
Total moment ... 0.0 μB/f.u.
DOS at the Fermi energy ... 8.3 states/eV per cell

Cell: 7.2083 7.2083 7.2083 Å, 60.00 60.00 60.00°
Closest atoms and distances in Å follow each position.
Element x y z (fractional)
Ga 0.0000 0.0000 0.0000  4 Se 2.45
Ni 0.1332 0.6223 0.6223  6 Se 2.43-2.45
Ni 0.2500 0.2500 0.2500  4 Se 2.37
Ni 0.6223 0.1332 0.6223  6 Se 2.43-2.45
Ni 0.6223 0.6223 0.1332  6 Se 2.43-2.45
Ni 0.6223 0.6223 0.6223  6 Se 2.43-2.45
Se 0.3844 0.3844 0.3844  4 Ni 2.37-2.43
Se 0.3844 0.3844 0.8467  4 Ni 2.37-2.43
Se 0.3844 0.8467 0.3844  4 Ni 2.37-2.43
Se 0.4170 0.8610 0.8610  3 Ni 2.45, 1 Ga 2.45
Se 0.8467 0.3844 0.3844  4 Ni 2.37-2.43
Se 0.8610 0.4170 0.8610  3 Ni 2.45, 1 Ga 2.45
Se 0.8610 0.8610 0.4170  3 Ni 2.45, 1 Ga 2.45
Se 0.8610 0.8610 0.8610  3 Ni 2.45, 1 Ga 2.45